# 1
TlCuAgI4 after structural relaxation, computed with PBE-GGA.

a = 6.885 Å, b = 7.301 Å, c = 11.614 Å
α = 90.00°, β = 101.43°, γ = 90.00°
Positions (direct):
Ag 0.340 0.250 0.718
Ag 0.660 0.750 0.282
I 0.965 0.489 0.260
I 0.350 0.750 0.074
I 0.035 0.511 0.740
I 0.488 0.750 0.480
I 0.512 0.250 0.520
I 0.035 0.989 0.740
I 0.650 0.250 0.926
I 0.965 0.011 0.260
Tl 0.189 0.250 0.008
Tl 0.811 0.750 0.992
Cu 0.226 0.750 0.292
Cu 0.774 0.250 0.708

DFT total energy, eV/atom: -2.4798
D(E_F), states/eV/f.u.: 2.8
V, Å³/cell: 572.2
Magnetic moment, μB per formula unit: 0.00


# 2
ZnCu2AgI6 after structural relaxation, computed with PBE-GGA.

a = 7.422 Å, b = 10.851 Å, c = 10.851 Å
α = 93.42°, β = 72.38°, γ = 72.38°
Positions (direct):
I 0.486 0.415 0.314
I 0.986 0.314 0.415
I 0.910 0.394 0.858
I 0.387 0.200 0.008
I 0.887 0.008 0.200
I 0.410 0.858 0.394
I 0.014 0.686 0.585
I 0.613 0.800 0.992
I 0.090 0.606 0.142
I 0.590 0.142 0.606
I 0.113 0.992 0.800
I 0.514 0.585 0.686
Cu 0.723 0.225 0.373
Cu 0.223 0.373 0.225
Cu 0.777 0.627 0.775
Cu 0.277 0.775 0.627
Ag 0.250 0.803 0.197
Ag 0.750 0.197 0.803
Zn 0.250 0.195 0.805
Zn 0.750 0.805 0.195

DFT total energy, eV/atom: -2.3980
D(E_F), states/eV/f.u.: 9.8
V, Å³/cell: 782.7
Magnetic moment, μB per formula unit: 0.00


# 3
In2CuAg after structural relaxation, computed with PBE-GGA.

a = 3.246 Å, b = 3.246 Å, c = 8.978 Å
α = 79.58°, β = 79.58°, γ = 60.00°
Positions (direct):
Ag 0.500 0.500 0.499
In 0.078 0.078 0.767
In 0.256 0.256 0.233
Cu 0.666 0.666 0.001

Distance to the lowest polymorph of the same formula, meV/atom: 43
D(E_F), states/eV/f.u.: 0.9
V, Å³/cell: 80.1
Magnetic moment, μB per formula unit: 0.00


# 4
In2CuAg after structural relaxation, computed with PBE-GGA.

a = 4.748 Å, b = 4.748 Å, c = 5.992 Å
α = 76.76°, β = 76.76°, γ = 38.41°
Positions (direct):
In 0.992 0.992 0.018
In 0.508 0.508 0.482
Cu 0.250 0.250 0.250
Ag 0.750 0.750 0.750

Distance to the lowest polymorph of the same formula, meV/atom: 67
D(E_F), states/eV/f.u.: 1.8
V, Å³/cell: 81.4
Magnetic moment, μB per formula unit: 0.00


# 5
In3Cu8Ag after structural relaxation, computed with PBE-GGA.

a = 5.057 Å, b = 5.057 Å, c = 8.641 Å
α = 72.98°, β = 72.98°, γ = 60.00°
Positions (direct):
Cu 0.437 0.938 0.687
Cu 0.938 0.938 0.687
Cu 0.188 0.188 0.437
Cu 0.938 0.437 0.687
Cu 0.688 0.688 0.937
Cu 0.437 0.437 0.187
Cu 0.437 0.939 0.187
Cu 0.939 0.437 0.187
In 0.995 0.995 0.016
In 0.377 0.377 0.869
In 0.505 0.505 0.486
Ag 0.873 0.873 0.382

DFT total energy, eV/atom: -3.6535
D(E_F), states/eV/f.u.: 4.0
V, Å³/cell: 180.1
Magnetic moment, μB per formula unit: 0.00


# 6
In2Cu2Ag after structural relaxation, computed with PBE-GGA.

a = 3.405 Å, b = 3.405 Å, c = 8.479 Å
α = 78.41°, β = 78.41°, γ = 90.00°
Positions (direct):
In 0.387 0.387 0.225
In 0.613 0.613 0.775
Cu 0.750 0.250 0.500
Cu 0.250 0.750 0.500
Ag 0.000 0.000 0.000

Distance to the lowest polymorph of the same formula, meV/atom: 25
D(E_F), states/eV/f.u.: 1.7
V, Å³/cell: 94.3
Magnetic moment, μB per formula unit: 0.00


# 7
InCuAg after structural relaxation, computed with PBE-GGA.

a = 5.051 Å, b = 5.050 Å, c = 3.478 Å
α = 69.86°, β = 69.86°, γ = 40.29°
Positions (direct):
In 0.671 0.671 0.329
Ag 0.990 0.990 0.010
Cu 0.339 0.338 0.661

Distance to the lowest polymorph of the same formula, meV/atom: 34
D(E_F), states/eV/f.u.: 0.3
V, Å³/cell: 53.4
Magnetic moment, μB per formula unit: 0.00


# 8
In2CuAg after structural relaxation, computed with PBE-GGA.

a = 5.052 Å, b = 5.052 Å, c = 5.052 Å
α = 127.52°, β = 127.52°, γ = 77.41°
Positions (direct):
Cu 0.750 0.250 0.500
In 0.500 0.500 0.000
In 0.000 0.000 0.000
Ag 0.250 0.750 0.500

Distance to the lowest polymorph of the same formula, meV/atom: 59
D(E_F), states/eV/f.u.: 1.4
V, Å³/cell: 78.7
Magnetic moment, μB per formula unit: 0.00


# 9
In2CuAg after structural relaxation, computed with PBE-GGA.

a = 4.335 Å, b = 4.335 Å, c = 9.856 Å
α = 77.30°, β = 77.30°, γ = 90.00°
Positions (direct):
In 0.375 0.386 0.750
In 0.614 0.125 0.250
In 0.136 0.625 0.250
In 0.875 0.864 0.750
Ag 0.750 0.250 0.500
Ag 0.000 0.000 0.000
Cu 0.500 0.500 0.000
Cu 0.250 0.750 0.500

Distance to the lowest polymorph of the same formula, meV/atom: 156
D(E_F), states/eV/f.u.: 1.5
V, Å³/cell: 176.0
Magnetic moment, μB per formula unit: 0.00


# 10
InCuAg2 after structural relaxation, computed with PBE-GGA.

a = 2.993 Å, b = 5.497 Å, c = 8.964 Å
α = 90.00°, β = 90.00°, γ = 105.38°
Positions (direct):
In 0.973 0.944 0.250
In 0.027 0.056 0.750
Cu 0.752 0.510 0.750
Cu 0.248 0.490 0.250
Ag 0.638 0.270 0.475
Ag 0.362 0.730 0.525
Ag 0.362 0.730 0.975
Ag 0.638 0.270 0.025

DFT total energy, eV/atom: -3.0871
D(E_F), states/eV/f.u.: 0.8
V, Å³/cell: 142.2
Magnetic moment, μB per formula unit: 0.00


# 11
In2CuAg2 after structural relaxation, computed with PBE-GGA.

a = 6.902 Å, b = 6.902 Å, c = 4.349 Å
α = 90.00°, β = 90.00°, γ = 90.00°
Positions (direct):
In 0.833 0.333 0.500
In 0.333 0.167 0.500
In 0.667 0.833 0.500
In 0.167 0.667 0.500
Ag 0.354 0.854 0.000
Ag 0.646 0.146 0.000
Ag 0.854 0.646 0.000
Ag 0.146 0.354 0.000
Cu 0.000 0.000 0.000
Cu 0.500 0.500 0.000

Distance to the lowest polymorph of the same formula, meV/atom: 123
D(E_F), states/eV/f.u.: 2.0
V, Å³/cell: 207.2
Magnetic moment, μB per formula unit: 0.00


# 12
In2CuAg after structural relaxation, computed with PBE-GGA.

a = 5.026 Å, b = 5.026 Å, c = 4.885 Å
α = 79.07°, β = 79.07°, γ = 41.69°
Positions (direct):
Cu 0.248 0.248 0.248
In 0.991 0.991 0.040
In 0.756 0.756 0.718
Ag 0.506 0.506 0.494

Distance to the lowest polymorph of the same formula, meV/atom: 42
D(E_F), states/eV/f.u.: 0.9
V, Å³/cell: 80.3
Magnetic moment, μB per formula unit: 0.00


Q: Which of these has the lowest V?
A: InCuAg